! Ba2CoNiN2, optimized geometry, DFT PBE-GGA; values from VASP
! Uncorrected energy: -0.4321 Ry per atom
! SG: Pmmm (47)
&SYSTEM
  ibrav = 0, nat = 6, ntyp = 4
/
ATOMIC_SPECIES
Ba 137.33 Ba.upf
Co 58.93 Co.upf
Ni 58.69 Ni.upf
N 14.01 N.upf
ATOMIC_POSITIONS crystal
Ba 0.000 0.000 0.249
Ba 0.000 0.000 0.751
Co 0.500 0.500 0.000
Ni 0.500 0.500 0.500
N 0.000 0.500 0.000
N 0.500 0.000 0.500
CELL_PARAMETERS angstrom
3.611 0.000 0.000
0.000 3.644 0.000
0.000 0.000 8.643